1.
PBE-GGA OsC2, relaxed; ΔE to the lowest computed polymorph = 1508.4 meV/atom; DFT total energy = -23.460 eV per cell; energy of formation from the pure elements = 2.072 eV/atom; volume = 10.789 Å³ per atom; crystal system = hexagonal
1.0
3.612 0.000 0.000
-1.806 3.128 0.000
0.000 0.000 2.864
C Os
2 1
direct
0.000 0.000 0.333
0.667 0.333 0.333
0.333 0.667 0.333

2.
PBE-GGA Tc2Te2Au, relaxed; ΔE to the lowest computed polymorph = 268.2 meV/atom; DFT total energy = -27.392 eV per cell; volume = 21.163 Å³ per atom; crystal system = tetragonal; energy relative to the elements, uncorrected = 0.580 eV per atom
1.0
4.358 0.000 0.000
0.000 4.358 0.000
2.179 2.179 5.571
Te Au Tc
2 1 2
direct
0.750 0.250 0.500
0.250 0.750 0.500
0.000 0.000 0.000
0.385 0.385 0.230
0.615 0.615 0.770

3.
PBE-GGA AcP3Pd6, relaxed; DFT total energy = -57.570 eV per cell; energy of formation from the pure elements = -0.608 eV/atom; volume = 18.256 Å³ per atom; crystal system = trigonal
1.0
5.567 0.000 -2.983
-3.583 5.201 0.000
-0.144 -0.099 6.418
Ac P Pd
1 3 6
direct
0.875 0.937 0.812
0.693 0.346 0.039
0.296 0.648 0.944
0.242 0.121 0.364
0.311 0.383 0.702
0.194 0.686 0.245
0.737 0.051 0.245
0.319 0.928 0.702
0.774 0.391 0.702
0.559 0.508 0.245

4.
PBE-GGA BaScP2O, relaxed; ΔE to the lowest computed polymorph = 1481.3 meV/atom; DFT total energy = -21.850 eV per cell; volume = 26.036 Å³ per atom; crystal system = tetragonal; energy relative to the elements, uncorrected = 0.436 eV per atom
1.0
-3.416 1.337 4.083
3.611 -1.935 3.654
1.834 3.904 0.255
Sc P Ba O
1 2 1 1
direct
0.500 0.500 0.500
0.000 0.500 0.000
0.500 0.000 0.000
0.000 0.000 0.000
0.000 0.000 0.500

5.
PBE-GGA TlTcAu2, relaxed; ΔE to the lowest computed polymorph = 236.2 meV/atom; DFT total energy = -33.455 eV per cell; energy of formation from the pure elements = 0.640 eV/atom; volume = 20.353 Å³ per atom; crystal system = tetragonal
1.0
3.984 0.000 0.000
0.000 3.984 0.000
1.992 1.992 10.259
Tl Au Tc
2 4 2
direct
0.000 0.000 0.000
0.750 0.250 0.500
0.617 0.125 0.250
0.133 0.625 0.250
0.375 0.383 0.750
0.875 0.867 0.750
0.500 0.500 0.000
0.250 0.750 0.500

6.
PBE-GGA YV2Rh, relaxed; ΔE to the lowest computed polymorph = 104.6 meV/atom; DFT total energy = -61.574 eV per cell; energy of formation from the pure elements = 0.316 eV/atom; volume = 18.976 Å³ per atom; crystal system = tetragonal
1.0
-1.287 -1.154 -7.208
6.985 -2.321 -0.876
2.059 -4.326 -3.487
Y Rh V
2 2 4
direct
0.500 0.500 0.000
0.250 0.750 0.500
0.000 0.000 0.000
0.750 0.250 0.500
0.682 0.125 0.250
0.068 0.625 0.250
0.375 0.318 0.750
0.875 0.932 0.750

7.
PBE-GGA LiAc2ScO5, relaxed; DFT total energy = -138.376 eV per cell; volume = 14.269 Å³ per atom; crystal system = orthorhombic; energy relative to the elements, uncorrected = -3.104 eV per atom
1.0
-0.787 -0.691 3.528
7.248 -0.914 -0.482
1.343 9.513 2.161
Li Ac Sc O
2 4 2 10
direct
0.773 0.545 0.498
0.227 0.455 0.998
0.878 0.756 0.804
0.130 0.261 0.683
0.122 0.244 0.304
0.870 0.739 0.183
0.577 0.154 0.986
0.423 0.846 0.486
0.358 0.717 0.007
0.697 0.393 0.861
0.511 0.022 0.793
0.313 0.625 0.647
0.962 0.925 0.546
0.642 0.283 0.507
0.303 0.607 0.361
0.489 0.978 0.293
0.687 0.375 0.147
0.038 0.075 0.046

8.
PBE-GGA PuTeF, relaxed; DFT total energy = -24.347 eV per cell; volume = 27.863 Å³ per atom; crystal system = cubic; energy relative to the elements, uncorrected = -1.667 eV per atom
1.0
4.908 0.000 0.000
2.454 4.250 0.000
2.454 1.417 4.007
F Te Pu
1 1 1
direct
0.500 0.500 0.500
0.000 0.000 0.000
0.250 0.250 0.250

9.
PBE-GGA CeAl2Se4, relaxed; DFT total energy = -33.832 eV per cell; volume = 26.693 Å³ per atom; crystal system = tetragonal; energy relative to the elements, uncorrected = -0.925 eV per atom
1.0
6.313 -0.175 0.000
-3.193 5.448 0.000
-1.560 -2.637 5.522
Ce Al Se
1 2 4
direct
0.500 0.500 0.000
0.250 0.750 0.500
0.750 0.250 0.500
0.311 0.148 0.458
0.852 0.311 0.163
0.148 0.689 0.837
0.689 0.852 0.542

10.
PBE-GGA Zr2TaZn2, relaxed; DFT total energy = -63.325 eV per cell; energy of formation from the pure elements = -0.033 eV/atom; volume = 18.778 Å³ per atom; crystal system = tetragonal
1.0
7.493 0.000 0.000
0.000 7.493 0.000
0.000 0.000 3.345
Zn Zr Ta
4 4 2
direct
0.381 0.881 0.000
0.881 0.619 0.000
0.619 0.119 0.000
0.119 0.381 0.000
0.181 0.681 0.500
0.681 0.819 0.500
0.819 0.319 0.500
0.319 0.181 0.500
0.000 0.000 0.000
0.500 0.500 0.000

11.
PBE-GGA BaNi2W, relaxed; ΔE to the lowest computed polymorph = 622.6 meV/atom; DFT total energy = -22.894 eV per cell; energy of formation from the pure elements = 0.886 eV/atom; volume = 18.070 Å³ per atom; crystal system = monoclinic
1.0
7.597 0.058 0.150
-3.279 3.764 -0.092
1.040 0.978 2.525
Ba Ni W
1 2 1
direct
0.500 0.500 0.000
0.000 0.000 0.000
0.500 0.000 0.500
0.000 0.500 0.500

12.
PBE-GGA Be2IrRh, relaxed; DFT total energy = -23.692 eV per cell; energy of formation from the pure elements = -0.007 eV/atom; volume = 12.147 Å³ per atom; crystal system = cubic
1.0
4.096 0.000 0.000
2.048 3.547 0.000
2.048 1.182 3.344
Be Ir Rh
2 1 1
direct
0.000 0.000 0.000
0.250 0.250 0.250
0.500 0.500 0.500
0.750 0.750 0.750

13.
PBE-GGA PmDy6Er, relaxed; ΔE to the lowest computed polymorph = 183.0 meV/atom; DFT total energy = -35.288 eV per cell; energy of formation from the pure elements = 0.205 eV/atom; volume = 32.133 Å³ per atom; crystal system = triclinic
1.0
6.269 -0.207 2.412
-0.100 6.472 0.868
1.049 0.783 6.858
Pm Dy Er
1 6 1
direct
0.000 0.000 0.000
0.094 0.768 0.483
0.570 0.728 0.526
0.430 0.272 0.474
0.906 0.232 0.517
0.545 0.748 0.002
0.455 0.252 0.998
0.000 0.500 0.000

14.
PBE-GGA TaTi2Hg, relaxed; DFT total energy = -27.719 eV per cell; energy of formation from the pure elements = 0.056 eV/atom; volume = 17.789 Å³ per atom; crystal system = tetragonal
1.0
-1.759 3.320 0.062
-2.180 -1.222 3.563
3.168 1.632 2.498
Ti Hg Ta
2 1 1
direct
0.000 0.000 0.500
0.000 0.500 0.000
0.500 0.500 0.500
0.500 0.000 0.000

15.
PBE-GGA CaLaAg, relaxed; ΔE to the lowest computed polymorph = 135.2 meV/atom; DFT total energy = -9.831 eV per cell; energy of formation from the pure elements = -0.017 eV/atom; volume = 30.146 Å³ per atom; crystal system = trigonal
1.0
-2.610 -1.673 -4.279
1.782 -3.493 3.541
-3.229 0.250 1.872
Ca Ag La
1 1 1
direct
0.667 0.333 0.233
0.000 0.000 0.074
0.333 0.667 0.693

16.
PBE-GGA BeTl2Cr, relaxed; ΔE to the lowest computed polymorph = 125.4 meV/atom; DFT total energy = -15.469 eV per cell; energy of formation from the pure elements = 0.653 eV/atom; volume = 20.597 Å³ per atom; crystal system = monoclinic
1.0
6.339 0.018 0.139
5.558 3.048 0.139
1.561 0.402 4.323
Cr Tl Be
1 2 1
direct
0.772 0.772 0.729
0.033 0.033 0.964
0.263 0.263 0.238
0.432 0.432 0.568

17.
PBE-GGA Pu5Ga4Rh, relaxed; DFT total energy = -89.053 eV per cell; energy of formation from the pure elements = 0.207 eV/atom; volume = 18.644 Å³ per atom; crystal system = tetragonal
1.0
3.862 0.000 0.000
0.000 3.862 0.000
0.000 0.000 12.501
Pu Ga Rh
5 4 1
direct
0.500 0.500 0.127
0.500 0.500 0.310
0.500 0.500 0.500
0.500 0.500 0.690
0.500 0.500 0.873
0.000 0.000 0.206
0.000 0.000 0.404
0.000 0.000 0.596
0.000 0.000 0.794
0.000 0.000 0.000

18.
PBE-GGA Sn2PtRh2, relaxed; ΔE to the lowest computed polymorph = 556.6 meV/atom; DFT total energy = -27.988 eV per cell; energy of formation from the pure elements = 0.152 eV/atom; volume = 19.540 Å³ per atom; crystal system = tetragonal
1.0
-2.419 -3.020 -1.487
3.219 -1.539 -2.110
1.751 -5.553 2.650
Rh Sn Pt
2 2 1
direct
0.391 0.391 0.218
0.609 0.609 0.782
0.750 0.250 0.500
0.250 0.750 0.500
0.000 0.000 0.000

19.
PBE-GGA CaInRh2, relaxed; DFT total energy = -19.968 eV per cell; energy of formation from the pure elements = -0.131 eV/atom; volume = 19.448 Å³ per atom; crystal system = tetragonal
1.0
3.095 0.009 0.000
-0.009 3.095 0.000
0.000 0.000 8.123
Ca Rh In
1 2 1
direct
0.000 0.000 0.467
0.000 0.000 0.022
0.500 0.500 0.214
0.500 0.500 0.796

20.
PBE-GGA Mn2BeNi9, relaxed; DFT total energy = -75.581 eV per cell; energy of formation from the pure elements = -0.124 eV/atom; volume = 10.916 Å³ per atom; crystal system = tetragonal
1.0
3.543 0.000 0.000
0.000 3.543 0.000
0.000 0.000 10.438
Mn Be Ni
2 1 9
direct
0.000 0.000 0.327
0.000 0.000 0.673
0.000 0.000 0.000
0.500 0.500 0.000
0.500 0.500 0.328
0.500 0.500 0.672
0.500 0.000 0.155
0.500 0.000 0.500
0.500 0.000 0.845
0.000 0.500 0.155
0.000 0.500 0.500
0.000 0.500 0.845

21.
PBE-GGA RbNaTlAg, relaxed; ΔE to the lowest computed polymorph = 111.9 meV/atom; DFT total energy = -7.127 eV per cell; energy of formation from the pure elements = 0.094 eV/atom; volume = 32.144 Å³ per atom; crystal system = cubic
1.0
5.665 0.000 0.000
2.833 4.906 0.000
2.833 1.635 4.626
Na Tl Rb Ag
1 1 1 1
direct
0.750 0.750 0.750
0.000 0.000 0.000
0.500 0.500 0.500
0.250 0.250 0.250

22.
PBE-GGA Nd3Pd2Au9, relaxed; DFT total energy = -62.331 eV per cell; energy of formation from the pure elements = -0.582 eV/atom; volume = 21.342 Å³ per atom; crystal system = orthorhombic
1.0
-1.186 -4.400 0.759
3.140 -1.954 7.637
-6.429 0.262 5.532
Nd Pd Au
3 2 9
direct
0.000 0.000 0.000
0.697 0.303 0.303
0.303 0.697 0.697
0.500 0.335 0.665
0.500 0.665 0.335
0.000 0.500 0.500
0.661 0.974 0.704
0.339 0.026 0.296
0.661 0.704 0.974
0.339 0.296 0.026
0.876 0.848 0.400
0.124 0.152 0.600
0.876 0.400 0.848
0.124 0.600 0.152

23.
PBE-GGA TbPm8Ru2, relaxed; DFT total energy = -61.143 eV per cell; energy of formation from the pure elements = 0.004 eV/atom; volume = 33.183 Å³ per atom; crystal system = monoclinic
1.0
7.315 -0.865 -0.656
-1.560 7.428 0.297
-1.560 2.286 7.074
Tb Pm Ru
1 8 2
direct
0.000 0.000 0.000
0.305 0.419 0.810
0.695 0.190 0.581
0.305 0.878 0.878
0.695 0.122 0.122
0.305 0.810 0.419
0.695 0.581 0.190
0.810 0.671 0.671
0.190 0.329 0.329
0.602 0.809 0.809
0.398 0.191 0.191

24.
PBE-GGA ThTcNi, relaxed; ΔE to the lowest computed polymorph = 94.8 meV/atom; DFT total energy = -47.068 eV per cell; energy of formation from the pure elements = 0.011 eV/atom; volume = 20.158 Å³ per atom; crystal system = orthorhombic
1.0
-1.035 1.898 -2.931
2.005 -2.069 -2.048
-6.260 -6.871 -2.237
Th Tc Ni
2 2 2
direct
0.250 0.892 0.216
0.750 0.108 0.784
0.250 0.251 0.499
0.750 0.749 0.501
0.250 0.540 0.920
0.750 0.460 0.080

25.
PBE-GGA Cs2TlAgPd, relaxed; DFT total energy = -11.775 eV per cell; energy of formation from the pure elements = 0.069 eV/atom; volume = 47.368 Å³ per atom; crystal system = tetragonal
1.0
-3.433 -3.706 4.330
-4.226 -1.736 -4.837
3.075 -4.218 -1.173
Cs Tl Pd Ag
2 1 1 1
direct
0.000 0.500 0.000
0.500 0.000 0.000
0.000 0.000 0.500
0.000 0.000 0.000
0.500 0.500 0.500